Record 1
First-principles (PBE) data for an optimized crystal structure of H16AuC12S2N3O4, as listed in OQMD.

Cell: 5.675 8.789 16.219 Å, 103.28 95.85 98.41°
Fractional coordinates of all 76 atoms:
H 0.006 0.178 0.432
H 0.058 0.120 0.944
H 0.064 0.592 0.712
H 0.114 0.563 0.603
H 0.117 0.836 0.218
H 0.129 0.207 0.725
H 0.130 0.853 0.406
H 0.135 0.062 0.787
H 0.151 0.188 0.259
H 0.192 0.010 0.603
H 0.196 0.868 0.668
H 0.268 0.282 0.934
H 0.334 0.039 0.443
H 0.355 0.228 0.358
H 0.386 0.892 0.352
H 0.393 0.080 0.266
H 0.607 0.920 0.734
H 0.614 0.108 0.648
H 0.645 0.772 0.642
H 0.666 0.961 0.557
H 0.732 0.718 0.066
H 0.804 0.132 0.332
H 0.808 0.990 0.397
H 0.849 0.812 0.741
H 0.865 0.938 0.213
H 0.870 0.147 0.594
H 0.871 0.793 0.275
H 0.883 0.164 0.782
H 0.886 0.437 0.397
H 0.936 0.408 0.288
H 0.942 0.880 0.056
H 0.994 0.822 0.568
Au 0.117 0.489 0.147
Au 0.883 0.511 0.853
C 0.020 0.115 0.747
C 0.085 0.915 0.624
C 0.216 0.539 0.378
C 0.250 0.944 0.387
C 0.262 0.138 0.301
C 0.354 0.617 0.463
C 0.372 0.084 0.090
C 0.375 0.183 0.028
C 0.391 0.815 0.864
C 0.399 0.724 0.930
C 0.414 0.587 0.337
C 0.441 0.329 0.581
C 0.559 0.671 0.419
C 0.586 0.413 0.663
C 0.601 0.276 0.070
C 0.609 0.185 0.136
C 0.625 0.817 0.972
C 0.628 0.916 0.910
C 0.646 0.383 0.537
C 0.738 0.862 0.699
C 0.750 0.056 0.613
C 0.784 0.461 0.622
C 0.915 0.085 0.376
C 0.980 0.885 0.253
S 0.225 0.572 0.953
S 0.476 0.570 0.236
S 0.524 0.430 0.764
S 0.775 0.428 0.047
N 0.004 0.541 0.648
N 0.102 0.014 0.329
N 0.229 0.188 0.961
N 0.771 0.812 0.039
N 0.898 0.986 0.671
N 0.996 0.459 0.352
O 0.235 0.968 0.100
O 0.240 0.244 0.558
O 0.252 0.807 0.799
O 0.318 0.635 0.539
O 0.682 0.365 0.461
O 0.748 0.193 0.201
O 0.760 0.756 0.442
O 0.765 0.032 0.900

Output
Raw total energy   -458.22 eV/cell

Record 2
First-principles (PBE) data for an optimized crystal structure of K2YTaSe6, as listed in OQMD.

Cell: 7.535 7.535 7.535 Å, 60.00 60.00 60.00°
Fractional coordinates of all 10 atoms:
K 0.250 0.250 0.250
K 0.750 0.750 0.750
Y 0.000 0.000 0.000
Ta 0.500 0.500 0.500
Se 0.261 0.261 0.739
Se 0.261 0.739 0.261
Se 0.261 0.739 0.739
Se 0.739 0.261 0.261
Se 0.739 0.261 0.739
Se 0.739 0.739 0.261

Output
Raw total energy   -51.27 eV/cell

Record 3
First-principles (PBE) data for an optimized crystal structure of Li2AlAg, as listed in OQMD.

Cell: 4.404 4.404 4.404 Å, 60.00 60.00 60.00°
Fractional coordinates of all 4 atoms:
Li 0.000 0.000 0.000
Li 0.250 0.250 0.250
Al 0.500 0.500 0.500
Ag 0.750 0.750 0.750

Output
Raw total energy   -11.37 eV/cell